First-principles (PBE-GGA) data for an optimized crystal structure of AlCr2Sb, as listed in the Alexandria database.

Cell: 3.019 3.605 5.871 Å, 90.00 91.58 90.00°
Fractional positions:
Al  0.000  0.000  0.000
Cr  0.493  0.500  0.760
Cr  0.507  0.500  0.240
Sb  0.000  0.000  0.500

Calculated values
**Total magnetization**: 4.943 Bohr magnetons per cell
**Distance to the lowest polymorph of the same formula**: 132.9 meV per atom
**Energy relative to the elements, uncorrected**: 27 kJ/mol of atoms